(1)
# meta-GGA SCAN FeIr2Os, PBEsol geometry
# * uncorrected energy: -58.079 eV per atom
# * density of states at the Fermi level: 0.74 states/eV per atom
# * symmetry: I-4m2, No. 119
data_FeIr2Os
_chemical_formula_sum 'Fe1 Ir2 Os1'
_symmetry_space_group_name_H-M 'P 1'
_symmetry_Int_Tables_number 1
_symmetry_space_group_name_Hall 'P 1'
_cell_length_a 3.7392
_cell_length_b 3.7392
_cell_length_c 4.5870
_cell_angle_alpha 114.05
_cell_angle_beta 114.05
_cell_angle_gamma 90.00
loop_
_atom_site_label
_atom_site_fract_x
_atom_site_fract_y
_atom_site_fract_z
Fe1 0.2500 0.7500 0.5000
Ir1 0.7500 0.2500 0.5000
Ir2 0.0000 0.0000 0.0000
Os1 0.5000 0.5000 0.0000

---

(2)
# meta-GGA SCAN FeIr2Os, PBEsol geometry
# * uncorrected energy: -58.085 eV per atom
# * density of states at the Fermi level: 0.75 states/eV per atom
# * symmetry: C2/m, No. 12
data_FeIr2Os
_chemical_formula_sum 'Fe1 Ir2 Os1'
_symmetry_space_group_name_H-M 'P 1'
_symmetry_Int_Tables_number 1
_symmetry_space_group_name_Hall 'P 1'
_cell_length_a 2.6752
_cell_length_b 4.5847
_cell_length_c 4.6179
_cell_angle_alpha 99.76
_cell_angle_beta 106.84
_cell_angle_gamma 90.00
loop_
_atom_site_label
_atom_site_fract_x
_atom_site_fract_y
_atom_site_fract_z
Ir1 0.7489 0.7470 0.4978
Ir2 0.2511 0.2530 0.5022
Fe1 0.0000 0.5000 0.0000
Os1 0.5000 0.0000 0.0000

---

(3)
# meta-GGA SCAN FeIr2Os, PBEsol geometry
# * uncorrected energy: -58.128 eV per atom
# * density of states at the Fermi level: 0.72 states/eV per atom
# * symmetry: I4/mmm, No. 139
data_FeIr2Os
_chemical_formula_sum 'Fe1 Ir2 Os1'
_symmetry_space_group_name_H-M 'P 1'
_symmetry_Int_Tables_number 1
_symmetry_space_group_name_Hall 'P 1'
_cell_length_a 3.7547
_cell_length_b 3.7547
_cell_length_c 4.6187
_cell_angle_alpha 113.98
_cell_angle_beta 113.98
_cell_angle_gamma 90.00
loop_
_atom_site_label
_atom_site_fract_x
_atom_site_fract_y
_atom_site_fract_z
Ir1 0.7500 0.2500 0.5000
Ir2 0.2500 0.7500 0.5000
Os1 0.5000 0.5000 0.0000
Fe1 0.0000 0.0000 0.0000